1.
Entry from the Alexandria database: a geometry-optimized CaThPt3 structure (PBE-GGA).

DFT total energy = -6.530 eV per atom
Volume = 23.38 Å³/atom
Size of the total moment = 0.00 μB per cell

Unit cell a=4.017 b=26.662 c=4.366 alpha=90.00 beta=90.00 gamma=90.00
Space group Cmcm (No. 63)
Unique sites:
Ca  0.000  0.067  0.250
Th  0.000  0.200  0.750
Pt  0.000  0.312  0.750
Pt  0.000  0.379  0.250
Pt  0.000  0.476  0.250

=====

2.
Entry from the Alexandria database: a geometry-optimized Ca3Th2Pt4 structure (PBE-GGA).

DFT total energy = -5.963 eV per atom
Volume = 27.85 Å³/atom
Size of the total moment = 0.00 μB per cell

Unit cell a=14.095 b=3.967 c=9.202 alpha=90.00 beta=103.03 gamma=90.00
Space group C2/m (No. 12)
Unique sites:
Ca  0.000  0.000  0.000
Ca  0.096  0.500  0.390
Th  0.194  0.500  0.813
Pt  0.071  0.000  0.637
Pt  0.156  0.500  0.106

=====

3.
Entry from the Alexandria database: a geometry-optimized CaTh2Pt9 structure (PBE-GGA).

DFT total energy = -6.816 eV per atom
Volume = 19.36 Å³/atom
Size of the total moment = 0.00 μB per cell
Polymorph energy (0 for the lowest one) = 0.096 eV/atom

Unit cell a=5.4767 b=5.4767 c=26.8365 alpha=90.00 beta=90.00 gamma=120.00
Space group R-3m (No. 166, hexagonal axes)
Unique sites:
Ca  0.0000  0.0000  0.0000
Th  0.0000  0.0000  0.1370
Pt  0.0000  0.0000  0.3328
Pt  0.0000  0.0000  0.5000
Pt  0.0054  0.5027  0.9151

=====

4.
Entry from the Alexandria database: a geometry-optimized CaThPt2 structure (PBE-GGA).

DFT total energy = -5.968 eV per atom
Volume = 34.06 Å³/atom
Size of the total moment = 0.00 μB per cell
Polymorph energy (0 for the lowest one) = 0.514 eV/atom

Unit cell a=4.9342 b=4.9342 c=19.3831 alpha=90.00 beta=90.00 gamma=120.00
Space group R-3m (No. 166, hexagonal axes)
Unique sites:
Ca  0.0000  0.0000  0.0000
Th  0.0000  0.0000  0.5000
Pt  0.0000  0.0000  0.1441